## Nd2CdAg2 (PBE)

Data for a relaxed structure of Nd2CdAg2.

Unit cell a=8.033 b=8.033 c=4.053 alpha=90.00 beta=90.00 gamma=90.00
Positions (direct):
Nd  0.173  0.327  0.000
Nd  0.327  0.827  0.000
Nd  0.673  0.173  0.000
Nd  0.827  0.673  0.000
Cd  0.000  0.000  0.500
Cd  0.500  0.500  0.500
Ag  0.126  0.626  0.500
Ag  0.374  0.126  0.500
Ag  0.626  0.874  0.500
Ag  0.874  0.374  0.500

## Properties
Its symmetry is P4/mbm, No. 127. The total magnetization comes out at 0.00 μB per formula unit. As for the density of states at the Fermi level: 8.4 states/eV per cell. The value obtained for the raw total energy is -3.515 eV/atom. Its formation energy from the elements is -6.57 kcal/mol of atoms. As for the mass density: 7.8 Mg/m³.